Compound: Ba3Li4Ca
Source: the Alexandria database
Functional: GGA-PBE
Structure: relaxed

a = 4.270 Å, b = 4.270 Å, c = 17.459 Å
α = 90.00°, β = 90.00°, γ = 90.00°
Fractional positions:
Ba (0.000, 0.000, 0.000)
Ba (0.000, 0.000, 0.262)
Ba (0.000, 0.000, 0.738)
Li (0.500, 0.500, 0.131)
Li (0.500, 0.500, 0.401)
Li (0.500, 0.500, 0.599)
Li (0.500, 0.500, 0.869)
Ca (0.000, 0.000, 0.500)

magnetization = 0.00 μB/f.u.
E = -1.883 eV per atom
ΔE_f = 1.0 kcal/mol of atoms